Material: AgI
Method: DFT, PBE-GGA
State: optimized geometry

abc: 4.643 4.643 7.807
angles: 91.50 91.50 59.26
Sites, in units of the cell vectors:
Ag  0.190  0.190  0.386
Ag  0.810  0.810  0.614
I  0.148  0.148  0.759
I  0.852  0.852  0.241

Results
N(E_F)	0.000	states/eV per cell
volume	36.2	Å³ per atom
formation energy (no corrections)	-0.2413	eV per atom
raw total energy	-2.442	eV/atom
total magnetic moment	0.000	μB/atom

***

Material: PrTmNi3
Method: DFT, PBE-GGA
State: optimized geometry

abc: 12.206 12.206 4.002
angles: 90.00 90.00 161.40
Sites, in units of the cell vectors:
Pr  0.073  0.927  0.750
Pr  0.927  0.073  0.250
Tm  0.205  0.795  0.250
Tm  0.795  0.205  0.750
Ni  0.322  0.678  0.250
Ni  0.376  0.624  0.750
Ni  0.474  0.526  0.750
Ni  0.526  0.474  0.250
Ni  0.624  0.376  0.250
Ni  0.678  0.322  0.750

Results
N(E_F)	9.649	states/eV per cell
volume	19.0	Å³ per atom
raw total energy	-5.700	eV/atom
calculated formation energy	-0.38	eV/atom
total magnetic moment	0.000	μB/atom

***

Material: SbRuPb2
Method: DFT, PBE-GGA
State: optimized geometry

abc: 5.679 5.679 5.679
angles: 132.91 132.91 68.80
Sites, in units of the cell vectors:
Sb  0.000  0.000  0.000
Ru  0.500  0.500  0.000
Pb  0.250  0.750  0.500
Pb  0.750  0.250  0.500

Results
N(E_F)	4.150	states/eV per cell
volume	24.1	Å³ per atom
formation energy (no corrections)	0.5511	eV per atom
raw total energy	-4.653	eV/atom
total magnetic moment	0.001	μB/atom

***

Material: Li2YZr
Method: DFT, PBE-GGA
State: optimized geometry

abc: 10.734 10.734 10.734
angles: 17.16 17.16 17.16
Sites, in units of the cell vectors:
Li  0.246  0.246  0.246
Li  0.754  0.754  0.754
Y  0.000  0.000  0.000
Zr  0.500  0.500  0.500

Results
N(E_F)	4.614	states/eV per cell
volume	23.5	Å³ per atom
raw total energy	-4.432	eV/atom
distance to the lowest polymorph of the same formula	140	meV per atom
calculated formation energy	0.28	eV/atom
total magnetic moment	0.065	μB/atom